1.
# AlTlW4N2

AlTlW4N2 after structural relaxation (PBE, OQMD).

abc: 2.887 2.887 15.297
angles: 90.00 90.00 120.00
Fractional coordinates of all 8 atoms:
Al (0.000, 0.000, 0.000)
Tl (0.667, 0.333, 0.500)
W (0.000, 0.000, 0.334)
W (0.000, 0.000, 0.666)
W (0.667, 0.333, 0.147)
W (0.667, 0.333, 0.853)
N (0.333, 0.667, 0.242)
N (0.333, 0.667, 0.758)

Calculated values
space group	P-6m2
energy	-72.3	eV/f.u.

2.
# HfHg2W

HfHg2W after structural relaxation (PBE, OQMD).

abc: 4.826 4.826 4.826
angles: 60.00 60.00 60.00
Fractional coordinates of all 4 atoms:
Hf (0.000, 0.000, 0.000)
Hg (0.250, 0.250, 0.250)
Hg (0.500, 0.500, 0.500)
W (0.750, 0.750, 0.750)

Calculated values
energy of formation from the pure elements	714	meV per atom
space group	F-43m
energy	-20.7	eV/f.u.

3.
# NaScSnPd

NaScSnPd after structural relaxation (PBE, OQMD).

abc: 4.876 4.876 4.876
angles: 60.00 60.00 60.00
Fractional coordinates of all 4 atoms:
Na (0.000, 0.000, 0.000)
Sc (0.500, 0.500, 0.500)
Sn (0.250, 0.250, 0.250)
Pd (0.750, 0.750, 0.750)

Calculated values
space group	F-43m
energy	-18.4	eV/f.u.

Repeat the first record exactly.
# AlTlW4N2

AlTlW4N2 after structural relaxation (PBE, OQMD).

abc: 2.887 2.887 15.297
angles: 90.00 90.00 120.00
Fractional coordinates of all 8 atoms:
Al (0.000, 0.000, 0.000)
Tl (0.667, 0.333, 0.500)
W (0.000, 0.000, 0.334)
W (0.000, 0.000, 0.666)
W (0.667, 0.333, 0.147)
W (0.667, 0.333, 0.853)
N (0.333, 0.667, 0.242)
N (0.333, 0.667, 0.758)

Calculated values
space group	P-6m2
energy	-72.3	eV/f.u.

Question: Number 2 is which compound?
Answer: HfHg2W